1.
{"formula": "MnCrCuBi2", "functional": "GGA-PBEsol", "state": "optimized geometry", "lattice": [[-2.4940, 1.0126, 3.8195], [-4.3231, -0.7708, -2.6185], [0.0626, -4.9314, 1.3482]], "species": ["Bi", "Bi", "Mn", "Cr", "Cu"], "fractional_positions": [[0.0000, 0.0000, 0.5000], [0.0000, 0.5000, 0.0000], [0.5000, 0.5000, 0.5000], [0.5000, 0.0000, 0.0000], [0.0000, 0.0000, 0.0000]], "dos_ef_per_ev_cell": 3.27, "delta_e_f_mev_per_atom": 1040}

2.
{"formula": "CaRh2W", "functional": "GGA-PBEsol", "state": "optimized geometry", "lattice": [[-0.0844, -1.1709, 2.5149], [-2.1119, -3.8595, -1.8678], [4.8873, -0.5614, -1.6288]], "species": ["Rh", "Rh", "Ca", "W"], "fractional_positions": [[0.9791, 0.0351, 0.9581], [0.2583, 0.7004, 0.5166], [0.7374, 0.1955, 0.4748], [0.5252, 0.5691, 0.0504]], "dos_ef_per_ev_cell": 2.81, "delta_e_f_mev_per_atom": 86, "polymorph_energy_ev_per_atom": 0.041}

3.
{"formula": "LiZn2Rh", "functional": "GGA-PBEsol", "state": "optimized geometry", "lattice": [[2.9927, 0.0000, 0.0000], [0.0000, 4.1800, 0.0000], [0.0000, 0.0000, 4.1787]], "species": ["Rh", "Zn", "Zn", "Li"], "fractional_positions": [[0.5000, 0.5000, 0.1251], [0.0000, 0.5000, 0.6251], [0.0000, 0.0000, 0.1248], [0.5000, 0.0000, 0.6250]], "dos_ef_per_ev_cell": 1.14, "delta_e_f_mev_per_atom": -388, "polymorph_energy_ev_per_atom": 0.000}